An optimized crystal structure of Y2InTe, computed with PBE.

POSCAR file:
```
Y2InTe
1.0
11.727 0.000 0.000
0.000 3.853 0.000
-0.010 0.000 5.008
Y In Te
4 2 2
direct
0.000 0.000 0.000 Y
0.240 0.500 0.500 Y
0.500 0.500 0.000 Y
0.740 0.000 0.500 Y
0.259 0.000 0.000 In
0.759 0.500 0.000 In
0.473 0.000 0.500 Te
0.973 0.500 0.500 Te
```

- Formation energy from raw total energies: -785.4 meV/atom
- Energy relative to the lowest polymorph listed for this composition: 0.1627 eV/atom
- D(E_F): 2.765 states/eV/f.u.